[1]
# LiLaCdRu

LiLaCdRu after structural relaxation (PBE, Alexandria via LeMat-Bulk).

Calculated values
formation energy: -0.06 eV per atom

a b c (Å): 4.881 4.881 4.881
angles (deg): 60.00 60.00 60.00
Atoms (fractional coordinates):
Li (0.250, 0.250, 0.250)
Ru (0.750, 0.750, 0.750)
La (0.000, 0.000, 0.000)
Cd (0.500, 0.500, 0.500)

[2]
# LiLa2CdS

LiLa2CdS after structural relaxation (PBE, Alexandria via LeMat-Bulk).

Calculated values
formation energy from raw total energies: -0.85 eV/atom

a b c (Å): 5.646 5.646 4.446
angles (deg): 90.00 90.00 90.00
Atoms (fractional coordinates):
La (0.000, 0.500, 0.000)
Li (0.000, 0.000, 0.500)
S (0.000, 0.000, 0.000)
La (0.500, 0.000, 0.000)
Cd (0.500, 0.500, 0.500)

[3]
# Li2La2ScCd5

Li2La2ScCd5 after structural relaxation (PBE, Alexandria via LeMat-Bulk).

Calculated values
formation energy: -0.28 eV per atom

a b c (Å): 3.988 10.924 10.924
angles (deg): 90.00 90.00 90.00
Atoms (fractional coordinates):
Li (0.000, 0.617, 0.883)
Cd (0.500, 0.295, 0.555)
Cd (0.500, 0.205, 0.055)
La (0.000, 0.319, 0.819)
Cd (0.500, 0.555, 0.705)
La (0.000, 0.681, 0.181)
Cd (0.500, 0.445, 0.295)
La (0.000, 0.819, 0.681)
Cd (0.500, 0.500, 0.000)
Sc (0.000, 0.500, 0.500)
Cd (0.500, 0.705, 0.445)
Li (0.000, 0.883, 0.383)
Cd (0.500, 0.795, 0.945)
Cd (0.500, 0.055, 0.795)
Li (0.000, 0.383, 0.117)
Li (0.000, 0.117, 0.617)
Sc (0.000, 0.000, 0.000)
Cd (0.500, 0.945, 0.205)
Cd (0.500, 0.000, 0.500)
La (0.000, 0.181, 0.319)

[4]
# LiLaCdSi

LiLaCdSi after structural relaxation (PBE, Alexandria via LeMat-Bulk).

Calculated values
formation energy from raw total energies: -0.30 eV/atom

a b c (Å): 5.085 5.085 5.085
angles (deg): 60.00 60.00 60.00
Atoms (fractional coordinates):
Cd (0.250, 0.250, 0.250)
Si (0.750, 0.750, 0.750)
La (0.000, 0.000, 0.000)
Li (0.500, 0.500, 0.500)

[5]
# LiLaSm2Cd4

LiLaSm2Cd4 after structural relaxation (PBE, Alexandria via LeMat-Bulk).

Calculated values
formation energy: -0.27 eV per atom

a b c (Å): 5.311 5.311 9.321
angles (deg): 73.45 73.45 60.00
Atoms (fractional coordinates):
Sm (0.247, 0.247, 0.260)
La (0.000, 0.000, 0.000)
Li (0.500, 0.500, 0.500)
Cd (0.617, 0.617, 0.150)
Cd (0.127, 0.127, 0.618)
Cd (0.873, 0.873, 0.382)
Sm (0.753, 0.753, 0.740)
Cd (0.383, 0.383, 0.850)

[6]
# SrLiLaCd

SrLiLaCd after structural relaxation (PBE, Alexandria via LeMat-Bulk).

Calculated values
formation energy: -0.12 eV per atom

a b c (Å): 5.650 5.650 5.650
angles (deg): 60.00 60.00 60.00
Atoms (fractional coordinates):
Li (0.750, 0.750, 0.750)
Cd (0.250, 0.250, 0.250)
Sr (0.000, 0.000, 0.000)
La (0.500, 0.500, 0.500)

Number 1: mass density 7.26 g/cm3, D(E_F) 0.458 states/eV per atom. Number 2: mass density 5.03 g/cm3, D(E_F) 0.828 states/eV per atom. Number 3: mass density 6.27 g/cm3, D(E_F) 0.758 states/eV per atom. Number 4: mass density 5.11 g/cm3, D(E_F) 0.560 states/eV per atom. Number 5: mass density 6.92 g/cm3, D(E_F) 0.920 states/eV per atom. Number 6: mass density 4.50 g/cm3, D(E_F) 0.998 states/eV per atom.